Arrangement 1

Pu2ThSb: relaxed, PBE.

Cell lengths 7.5296, 7.5296, 7.5296 Å; angles 90.00, 90.00, 90.00 degrees
Space group Fm-3m (No. 225)
Asymmetric unit:
Pu: 0.2500 0.2500 0.2500 x8
Th: 0.0000 0.0000 0.0000 x4
Sb: 0.0000 0.0000 0.5000 x4

Calculated values
Magnetization in μB/f.u.: 12.7

Arrangement 2

Pu2ThSb: relaxed, PBE.

Cell lengths 4.6933, 4.6933, 4.8599 Å; angles 90.00, 90.00, 90.00 degrees
Space group P4/mmm (No. 123)
Asymmetric unit:
Pu: 0.0000 0.5000 0.0000 x2
Th: 0.0000 0.0000 0.5000 x1
Sb: 0.5000 0.5000 0.5000 x1

Calculated values
Magnetization in μB/f.u.: 11.8

Which structure is most stable? arrangement 2, by 288 meV per atom over the runner-up.

Arrangement 1

PuTiSb2: relaxed, PBE.

Cell lengths 3.3011, 3.3011, 32.0393 Å; angles 90.00, 90.00, 120.00 degrees
Space group R-3m (No. 166, hexagonal axes)
Asymmetric unit:
Pu: 0.0000 0.0000 0.0000 x3
Ti: 0.0000 0.0000 0.5000 x3
Sb: 0.0000 0.0000 0.1000 x6

Calculated values
Magnetization in μB/f.u.: 6.3

Arrangement 2

PuTiSb2: relaxed, PBE.

Cell lengths 4.8377, 4.8377, 4.0197 Å; angles 90.00, 90.00, 90.00 degrees
Space group P4/mmm (No. 123)
Asymmetric unit:
Pu: 0.0000 0.0000 0.0000 x1
Ti: 0.5000 0.5000 0.0000 x1
Sb: 0.0000 0.5000 0.5000 x2

Calculated values
Magnetization in μB/f.u.: 7.0

Arrangement 3

PuTiSb2: relaxed, PBE.

Cell lengths 3.8690, 3.3661, 14.8355 Å; angles 90.00, 90.00, 90.00 degrees
Space group Amm2 (No. 38)
Asymmetric unit:
Pu: 0.0000 0.0000 0.0000 x2
Ti: 0.0000 0.0000 0.2356 x2
Sb: 0.5000 0.0000 0.3721 x2
Sb: 0.5000 0.0000 0.6445 x2

Calculated values
Magnetization in μB/f.u.: 6.7

Arrangement 4

PuTiSb2: relaxed, PBE.

Cell lengths 3.4559, 3.4559, 7.7463 Å; angles 90.00, 90.00, 90.00 degrees
Space group P4/mmm (No. 123)
Asymmetric unit:
Pu: 0.0000 0.0000 0.0000 x1
Ti: 0.0000 0.0000 0.5000 x1
Sb: 0.5000 0.5000 0.2828 x2

Calculated values
Magnetization in μB/f.u.: 6.4

Which structure is most stable? arrangement 3, by 29 meV per atom over the runner-up.